Entry 1:
Computed, not measured: crystalline Ca3PrHo2Te6 at its relaxed geometry at the PBE-GGA level of DFT.

Lattice parameters (Å, degrees): 4.409 8.976 10.007 104.17 102.72 90.00
Fractional positions:
Ca1 0.500 0.500 0.000
Ca2 0.836 0.169 0.673
Ca3 0.164 0.831 0.327
Pr1 0.500 0.000 0.000
Ho1 0.837 0.675 0.674
Ho2 0.163 0.325 0.326
Te1 0.330 0.912 0.659
Te2 0.670 0.576 0.341
Te3 0.670 0.088 0.341
Te4 0.002 0.259 0.003
Te5 0.998 0.741 0.997
Te6 0.330 0.424 0.659

Output
For the uncorrected formation energy, the calculation gives -1466 meV per atom. The calculation puts the density at 6.0 g/cm3. For the final energy, the calculation gives -4.70 eV per atom. The calculation puts the total magnetization at 0.00 Bohr magnetons per cell. The density of states at the Fermi level comes out at 5.0 states/eV per cell. Its space group is C2/m.

=====

Entry 2:
Computed, not measured: crystalline Ba2AgHg2 at its relaxed geometry at the PBE-GGA level of DFT.

Lattice parameters (Å, degrees): 8.738 8.738 4.649 90.00 90.00 90.00
Fractional positions:
Hg1 0.372 0.872 0.000
Hg2 0.872 0.628 0.000
Hg3 0.628 0.128 0.000
Hg4 0.128 0.372 0.000
Ag1 0.000 0.000 0.000
Ag2 0.500 0.500 0.000
Ba1 0.174 0.674 0.500
Ba2 0.674 0.826 0.500
Ba3 0.826 0.326 0.500
Ba4 0.326 0.174 0.500

Output
The value obtained for the energy above the most stable polymorph in this dataset is 0.090 eV/atom. The calculation puts the density at 7.3 g/cm3. For the final energy, the calculation gives -1.79 eV per atom. The calculation puts the total magnetization at 0.00 Bohr magnetons per cell. The density of states at the Fermi level comes out at 7.5 states/eV per cell. Its space group is P4/mbm.

=====

Entry 3:
Computed, not measured: crystalline PuHCl at its relaxed geometry at the PBE-GGA level of DFT.

Lattice parameters (Å, degrees): 4.170 3.810 3.810 120.00 90.00 90.00
Fractional positions:
H1 0.167 0.333 0.667
Cl1 0.667 0.667 0.333
Pu1 0.167 0.000 0.000

Output
The calculation puts the density at 8.9 g/cm3. For the final energy, the calculation gives -7.49 eV per atom. The calculation puts the total magnetization at 6.00 Bohr magnetons per cell. The density of states at the Fermi level comes out at 10.2 states/eV per cell. Its space group is P-6m2.

=====

Entry 4:
Computed, not measured: crystalline SrMgSb2 at its relaxed geometry at the PBE-GGA level of DFT.

Lattice parameters (Å, degrees): 5.511 5.511 5.511 60.00 60.00 60.00
Fractional positions:
Mg1 0.500 0.500 0.500
Sb1 0.000 0.000 0.000
Sb2 0.250 0.250 0.250
Sr1 0.750 0.750 0.750

Output
For the uncorrected formation energy, the calculation gives -184 meV per atom. The calculation puts the density at 5.0 g/cm3. For the final energy, the calculation gives -3.06 eV per atom. The calculation puts the total magnetization at 0.00 Bohr magnetons per cell. The density of states at the Fermi level comes out at 4.0 states/eV per cell. Its space group is F-43m.